Entry 1:
{
  "formula": "LaBr2F",
  "functional": "PBE",
  "state": "relaxed",
  "lattice": [[3.6742, -2.1208, 0.0000], [3.6742, 2.1208, 0.0000], [-2.3364, 0.0000, 7.5941]],
  "species": ["La", "Br", "Br", "F"],
  "frac_coords": [[0.0000, 0.0000, 0.0000], [0.5840, 0.5840, 0.7405], [0.7490, 0.7490, 0.2596], [0.3333, 0.3333, 0.0001]],
  "e_form_raw_ev_per_atom": -2.748,
  "e_above_lowest_polymorph_kj_per_mol_atoms": 0.0,
  "dft_energy_ev_per_atom": -5.2844,
  "dos_at_fermi_per_ev_atom": 0.000,
  "rho_g_cm3": 4.5,
  "magmom_total_mub_per_cell": 0.00
}

Entry 2:
{
  "formula": "LaBrF3",
  "functional": "PBE",
  "state": "relaxed",
  "lattice": [[4.7063, 0.0000, 0.0000], [0.0000, 4.7063, 0.0000], [0.0000, 0.0000, 4.7063]],
  "species": ["La", "Br", "F", "F", "F"],
  "frac_coords": [[0.0000, 0.0000, 0.0000], [0.5000, 0.5000, 0.5000], [0.0000, 0.5000, 0.5000], [0.5000, 0.0000, 0.5000], [0.5000, 0.5000, 0.0000]],
  "e_form_raw_ev_per_atom": -1.309,
  "e_above_lowest_polymorph_kj_per_mol_atoms": 162.3,
  "dft_energy_ev_per_atom": -3.7518,
  "dos_at_fermi_per_ev_atom": 2.790,
  "rho_g_cm3": 4.4,
  "magmom_total_mub_per_cell": 0.44
}

Entry 3:
{
  "formula": "LaBr2F",
  "functional": "PBE",
  "state": "relaxed",
  "lattice": [[-2.3726, 2.3726, 9.6879], [2.3726, -2.3726, 9.6879], [2.3726, 2.3726, -9.6879]],
  "species": ["La", "La", "Br", "Br", "Br", "Br", "F", "F"],
  "frac_coords": [[0.0000, 0.0000, 0.0000], [0.7500, 0.2500, 0.5000], [0.1186, 0.6250, 0.9936], [0.3750, 0.3686, 0.4936], [0.6314, 0.1250, 0.0064], [0.8750, 0.8814, 0.5064], [0.2500, 0.7500, 0.5000], [0.5000, 0.5000, 0.0000]],
  "e_form_raw_ev_per_atom": -1.833,
  "e_above_lowest_polymorph_kj_per_mol_atoms": 88.3,
  "dft_energy_ev_per_atom": -4.3691,
  "dos_at_fermi_per_ev_atom": 0.000,
  "rho_g_cm3": 4.8,
  "magmom_total_mub_per_cell": 0.00
}